# GdPaPtRh | Alexandria via LeMat-Bulk | PBE | optimized geometry
data_GdPaPtRh
_chemical_formula_sum 'Gd4 Pa4 Pt4 Rh4'
_space_group_name_H-M_alt 'F -4 3 m'
_space_group_IT_number 216
_space_group_name_Hall 'F -4 2 3'
_cell_length_a 6.9859
_cell_length_b 6.9859
_cell_length_c 6.9859
_cell_angle_alpha 90.00
_cell_angle_beta 90.00
_cell_angle_gamma 90.00
loop_
_atom_site_label
_atom_site_type_symbol
_atom_site_fract_x
_atom_site_fract_y
_atom_site_fract_z
Gd1 Gd 0.0000 0.0000 0.0000
Pa1 Pa 0.0000 0.0000 0.5000
Pt1 Pt 0.2500 0.2500 0.2500
Rh1 Rh 0.2500 0.2500 0.7500
# energy of formation from the pure elements	-0.771	eV/atom

***

# NaSr2Mn | Alexandria via LeMat-Bulk | PBE | optimized geometry
data_NaSr2Mn
_chemical_formula_sum 'Na4 Sr8 Mn4'
_space_group_name_H-M_alt 'F m -3 m'
_space_group_IT_number 225
_space_group_name_Hall '-F 4 2 3'
_cell_length_a 8.3682
_cell_length_b 8.3682
_cell_length_c 8.3682
_cell_angle_alpha 90.00
_cell_angle_beta 90.00
_cell_angle_gamma 90.00
loop_
_atom_site_label
_atom_site_type_symbol
_atom_site_fract_x
_atom_site_fract_y
_atom_site_fract_z
Na1 Na 0.0000 0.0000 0.0000
Sr1 Sr 0.2500 0.2500 0.2500
Mn1 Mn 0.0000 0.0000 0.5000
# ΔE to the lowest computed polymorph	0.00	eV per formula unit
# energy of formation from the pure elements	0.384	eV/atom

***

# NdCdF5 | Alexandria via LeMat-Bulk | PBE | optimized geometry
data_NdCdF5
_chemical_formula_sum 'Nd4 Cd4 F20'
_space_group_name_H-M_alt 'C 1 2/c 1'
_space_group_IT_number 15
_space_group_name_Hall '-C 2yc'
_cell_length_a 9.7102
_cell_length_b 7.2769
_cell_length_c 8.0503
_cell_angle_alpha 90.00
_cell_angle_beta 114.17
_cell_angle_gamma 90.00
loop_
_atom_site_label
_atom_site_type_symbol
_atom_site_fract_x
_atom_site_fract_y
_atom_site_fract_z
Nd1 Nd 0.0000 0.0471 0.2500
Cd1 Cd 0.0000 0.5000 0.0000
F1 F 0.0000 0.3686 0.2500
F2 F 0.0057 0.1779 0.9647
F3 F 0.2468 0.4795 0.6280
# formation energy without anion corrections	-74.5	kcal/mol of atoms

***

# La3Pm2Bi4 | Alexandria via LeMat-Bulk | PBE | optimized geometry
data_La3Pm2Bi4
_chemical_formula_sum 'La6 Pm4 Bi8'
_space_group_name_H-M_alt 'C 1 2/m 1'
_space_group_IT_number 12
_space_group_name_Hall '-C 2y'
_cell_length_a 15.8222
_cell_length_b 4.8900
_cell_length_c 10.7774
_cell_angle_alpha 90.00
_cell_angle_beta 132.38
_cell_angle_gamma 90.00
loop_
_atom_site_label
_atom_site_type_symbol
_atom_site_fract_x
_atom_site_fract_y
_atom_site_fract_z
La1 La 0.0000 0.0000 0.0000
La2 La 0.1522 0.5000 0.7270
Pm1 Pm 0.1492 0.5000 0.3341
Bi1 Bi 0.0632 0.0000 0.4126
Bi2 Bi 0.1560 0.5000 0.0371
# energy of formation from the pure elements	-0.801	eV/atom

***

# Rb2GeRhI6 | Alexandria via LeMat-Bulk | PBE | optimized geometry
data_Rb2GeRhI6
_chemical_formula_sum 'Rb4 Ge2 Rh2 I12'
_space_group_name_H-M_alt 'I 4/m m m'
_space_group_IT_number 139
_space_group_name_Hall '-I 4 2'
_cell_length_a 8.1178
_cell_length_b 8.1178
_cell_length_c 11.5178
_cell_angle_alpha 90.00
_cell_angle_beta 90.00
_cell_angle_gamma 90.00
loop_
_atom_site_label
_atom_site_type_symbol
_atom_site_fract_x
_atom_site_fract_y
_atom_site_fract_z
Rb1 Rb 0.0000 0.5000 0.2500
Ge1 Ge 0.0000 0.0000 0.0000
Rh1 Rh 0.0000 0.0000 0.5000
I1 I 0.0000 0.0000 0.2597
I2 I 0.2405 0.2405 0.5000
# formation energy without anion corrections	-15.2	kcal/mol of atoms

***

# PmYBi2O6 | Alexandria via LeMat-Bulk | PBE | optimized geometry
data_PmYBi2O6
_chemical_formula_sum 'Pm3 Y3 Bi6 O18'
_space_group_name_H-M_alt 'R 3'
_space_group_IT_number 146
_space_group_name_Hall 'R 3'
_cell_length_a 6.0931
_cell_length_b 6.0931
_cell_length_c 15.3775
_cell_angle_alpha 90.00
_cell_angle_beta 90.00
_cell_angle_gamma 120.00
loop_
_atom_site_label
_atom_site_type_symbol
_atom_site_fract_x
_atom_site_fract_y
_atom_site_fract_z
Pm1 Pm 0.0000 0.0000 0.0000
Y1 Y 0.0000 0.0000 0.4962
Bi1 Bi 0.0000 0.0000 0.2833
Bi2 Bi 0.0000 0.0000 0.7845
O1 O 0.0678 0.3711 0.5528
O2 O 0.0687 0.6855 0.0539
# formation energy without anion corrections	-53.5	kcal/mol of atoms

***

# K5H4Cl | Alexandria via LeMat-Bulk | PBE | optimized geometry
data_K5H4Cl
_chemical_formula_sum 'K10 H8 Cl2'
_space_group_name_H-M_alt 'C 1 2/m 1'
_space_group_IT_number 12
_space_group_name_Hall '-C 2y'
_cell_length_a 13.6823
_cell_length_b 4.1148
_cell_length_c 10.1671
_cell_angle_alpha 90.00
_cell_angle_beta 119.27
_cell_angle_gamma 90.00
loop_
_atom_site_label
_atom_site_type_symbol
_atom_site_fract_x
_atom_site_fract_y
_atom_site_fract_z
K1 K 0.0000 0.0000 0.0000
K2 K 0.1082 0.5000 0.3854
K3 K 0.2061 0.0000 0.8132
H1 H 0.0993 0.5000 0.9050
H2 H 0.1986 0.0000 0.2921
Cl1 Cl 0.0000 0.0000 0.5000
# ΔE to the lowest computed polymorph	0.03	eV per formula unit

***

# PrNd3Sb | Alexandria via LeMat-Bulk | PBE | optimized geometry
data_PrNd3Sb
_chemical_formula_sum 'Pr4 Nd12 Sb4'
_space_group_name_H-M_alt 'P n m a'
_space_group_IT_number 62
_space_group_name_Hall '-P 2ac 2n'
_cell_length_a 11.1246
_cell_length_b 4.0857
_cell_length_c 14.8929
_cell_angle_alpha 90.00
_cell_angle_beta 90.00
_cell_angle_gamma 90.00
loop_
_atom_site_label
_atom_site_type_symbol
_atom_site_fract_x
_atom_site_fract_y
_atom_site_fract_z
Pr1 Pr 0.1664 0.2500 0.0032
Nd1 Nd 0.0568 0.2500 0.4163
Nd2 Nd 0.0643 0.7500 0.2058
Nd3 Nd 0.1911 0.7500 0.7895
Sb1 Sb 0.1626 0.2500 0.6232
# formation energy without anion corrections	-9.0	kcal/mol of atoms

***

A plane-wave DFT calculation with PBE was carried out for a relaxed structure of Ba2NaBiH.

```
data_Ba2NaBiH
_chemical_formula_sum 'Ba2 Na1 Bi1 H1'
_space_group_name_H-M_alt 'P 4/m m m'
_space_group_IT_number 123
_space_group_name_Hall '-P 4 2'
_cell_length_a 5.6231
_cell_length_b 5.6231
_cell_length_c 4.9579
_cell_angle_alpha 90.00
_cell_angle_beta 90.00
_cell_angle_gamma 90.00
loop_
_atom_site_label
_atom_site_type_symbol
_atom_site_fract_x
_atom_site_fract_y
_atom_site_fract_z
Ba1 Ba 0.0000 0.5000 0.0000
Na1 Na 0.0000 0.0000 0.5000
Bi1 Bi 0.5000 0.5000 0.5000
H1 H 0.0000 0.0000 0.0000
```

***

# HoPaPt2 | Alexandria via LeMat-Bulk | PBE | optimized geometry
data_HoPaPt2
_chemical_formula_sum 'Ho1 Pa1 Pt2'
_space_group_name_H-M_alt 'P 4/m m m'
_space_group_IT_number 123
_space_group_name_Hall '-P 4 2'
_cell_length_a 3.4299
_cell_length_b 3.4299
_cell_length_c 7.2606
_cell_angle_alpha 90.00
_cell_angle_beta 90.00
_cell_angle_gamma 90.00
loop_
_atom_site_label
_atom_site_type_symbol
_atom_site_fract_x
_atom_site_fract_y
_atom_site_fract_z
Ho1 Ho 0.0000 0.0000 0.0000
Pa1 Pa 0.0000 0.0000 0.5000
Pt1 Pt 0.5000 0.5000 0.2476
# ΔE to the lowest computed polymorph	0.20	eV per formula unit
# energy of formation from the pure elements	-0.984	eV/atom

***

# ZrTlMo2 | Alexandria via LeMat-Bulk | PBE | optimized geometry
data_ZrTlMo2
_chemical_formula_sum 'Zr1 Tl1 Mo2'
_space_group_name_H-M_alt 'P 4/m m m'
_space_group_IT_number 123
_space_group_name_Hall '-P 4 2'
_cell_length_a 2.8665
_cell_length_b 2.8665
_cell_length_c 9.4394
_cell_angle_alpha 90.00
_cell_angle_beta 90.00
_cell_angle_gamma 90.00
loop_
_atom_site_label
_atom_site_type_symbol
_atom_site_fract_x
_atom_site_fract_y
_atom_site_fract_z
Zr1 Zr 0.0000 0.0000 0.0000
Tl1 Tl 0.0000 0.0000 0.5000
Mo1 Mo 0.5000 0.5000 0.2492
# ΔE to the lowest computed polymorph	1.76	eV per formula unit
# energy of formation from the pure elements	0.582	eV/atom

***

# BaPmPd | Alexandria via LeMat-Bulk | PBE | optimized geometry
data_BaPmPd
_chemical_formula_sum 'Ba1 Pm1 Pd1'
_space_group_name_H-M_alt 'P 3 m 1'
_space_group_IT_number 156
_space_group_name_Hall 'P 3 -2"'
_cell_length_a 4.3654
_cell_length_b 4.3654
_cell_length_c 7.0556
_cell_angle_alpha 90.00
_cell_angle_beta 90.00
_cell_angle_gamma 120.00
loop_
_atom_site_label
_atom_site_type_symbol
_atom_site_fract_x
_atom_site_fract_y
_atom_site_fract_z
Ba1 Ba 0.0000 0.0000 0.0000
Pm1 Pm 0.6667 0.3333 0.5239
Pd1 Pd 0.3333 0.6667 0.7170
# ΔE to the lowest computed polymorph	0.14	eV per formula unit
# energy of formation from the pure elements	-0.339	eV/atom

***

Number 1: volume 21.31 A^3/atom, DOS at the Fermi energy 27.06 states/eV/cell, E -10.014 eV per atom. Number 2: volume 36.63 A^3/atom, DOS at the Fermi energy 20.02 states/eV/cell, E -3.079 eV per atom. Number 3: volume 18.53 A^3/atom, DOS at the Fermi energy 0.00 states/eV/cell, E -5.380 eV per atom. Number 4: volume 34.22 A^3/atom, DOS at the Fermi energy 14.03 states/eV/cell, E -5.224 eV per atom. Number 5: volume 37.95 A^3/atom, DOS at the Fermi energy 9.60 states/eV/cell, E -2.978 eV per atom. Number 6: volume 16.48 A^3/atom, DOS at the Fermi energy 0.00 states/eV/cell, E -7.193 eV per atom. Number 7: volume 24.97 A^3/atom, DOS at the Fermi energy 0.00 states/eV/cell, E -2.623 eV per atom. Number 8: volume 33.85 A^3/atom, DOS at the Fermi energy 27.70 states/eV/cell, E -5.030 eV per atom. Number 9: volume 31.35 A^3/atom, DOS at the Fermi energy 2.50 states/eV/cell, E -3.032 eV per atom. Number 10: volume 21.35 A^3/atom, DOS at the Fermi energy 5.45 states/eV/cell, E -7.523 eV per atom. Number 11: volume 19.39 A^3/atom, DOS at the Fermi energy 3.89 states/eV/cell, E -7.562 eV per atom. Number 12: volume 38.81 A^3/atom, DOS at the Fermi energy 3.40 states/eV/cell, E -4.294 eV per atom.